Record 1
# TaBeAl2, relaxed, DFT PBE-GGA
data_TaBeAl2
_chemical_formula_sum 'Ta1 Be1 Al2'
_cell_length_a 3.0357
_cell_length_b 3.0357
_cell_length_c 6.3253
_cell_angle_alpha 90.00
_cell_angle_beta 90.00
_cell_angle_gamma 90.00
_symmetry_space_group_name_H-M 'P 1'
_symmetry_Int_Tables_number 1
loop_
_symmetry_equiv_pos_as_xyz
'x,y,z'
loop_
_atom_site_label
_atom_site_type_symbol
_atom_site_fract_x
_atom_site_fract_y
_atom_site_fract_z
Al1 Al 0.0000 0.0000 0.0142
Al2 Al 0.5000 0.5000 0.2839
Ta1 Ta 0.5000 0.5000 0.7262
Be1 Be 0.0000 0.0000 0.4756
# * ΔE_f: 3 kJ/mol of atoms
# * volume: 58.3 Å³ per cell
# * total moment: 0.00 μB per cell
# * space group: No. 99

Record 2
# TaBeAl2, relaxed, DFT PBE-GGA
data_TaBeAl2
_chemical_formula_sum 'Ta1 Be1 Al2'
_cell_length_a 4.0660
_cell_length_b 2.8678
_cell_length_c 5.2312
_cell_angle_alpha 86.66
_cell_angle_beta 90.00
_cell_angle_gamma 90.00
_symmetry_space_group_name_H-M 'P 1'
_symmetry_Int_Tables_number 1
loop_
_symmetry_equiv_pos_as_xyz
'x,y,z'
loop_
_atom_site_label
_atom_site_type_symbol
_atom_site_fract_x
_atom_site_fract_y
_atom_site_fract_z
Be1 Be 0.5000 0.2500 0.2500
Ta1 Ta 0.5000 0.7500 0.7500
Al1 Al 0.0000 0.2880 0.4985
Al2 Al 0.0000 0.2120 0.0015
# * ΔE_f: 0 kJ/mol of atoms
# * volume: 60.9 Å³ per cell
# * total moment: 0.00 μB per cell
# * space group: No. 10

Record 3
# TaBeAl2, relaxed, DFT PBE-GGA
data_TaBeAl2
_chemical_formula_sum 'Ta1 Be1 Al2'
_cell_length_a 4.9941
_cell_length_b 4.9941
_cell_length_c 4.9941
_cell_angle_alpha 136.60
_cell_angle_beta 136.05
_cell_angle_gamma 63.47
_symmetry_space_group_name_H-M 'P 1'
_symmetry_Int_Tables_number 1
loop_
_symmetry_equiv_pos_as_xyz
'x,y,z'
loop_
_atom_site_label
_atom_site_type_symbol
_atom_site_fract_x
_atom_site_fract_y
_atom_site_fract_z
Be1 Be 0.5018 0.5018 0.0000
Al1 Al 0.0000 0.0000 0.0000
Al2 Al 0.7465 0.2465 0.5000
Ta1 Ta 0.2517 0.7517 0.5000
# * ΔE_f: -11 kJ/mol of atoms
# * volume: 58.6 Å³ per cell
# * total moment: 0.00 μB per cell
# * space group: No. 44

Record 4
# TaBeAl2, relaxed, DFT PBE-GGA
data_TaBeAl2
_chemical_formula_sum 'Ta1 Be1 Al2'
_cell_length_a 8.8108
_cell_length_b 8.8108
_cell_length_c 8.8108
_cell_angle_alpha 18.79
_cell_angle_beta 18.79
_cell_angle_gamma 18.79
_symmetry_space_group_name_H-M 'P 1'
_symmetry_Int_Tables_number 1
loop_
_symmetry_equiv_pos_as_xyz
'x,y,z'
loop_
_atom_site_label
_atom_site_type_symbol
_atom_site_fract_x
_atom_site_fract_y
_atom_site_fract_z
Al1 Al 0.5080 0.5080 0.5080
Al2 Al 0.9920 0.9920 0.9920
Ta1 Ta 0.7500 0.7500 0.7500
Be1 Be 0.2500 0.2500 0.2500
# * ΔE_f: 10 kJ/mol of atoms
# * volume: 62.0 Å³ per cell
# * total moment: 0.00 μB per cell
# * space group: No. 166

Record 5
# Ta2Be16Al, relaxed, DFT PBE-GGA
data_Ta2Be16Al
_chemical_formula_sum 'Ta2 Be16 Al1'
_cell_length_a 5.6354
_cell_length_b 5.6354
_cell_length_c 5.6354
_cell_angle_alpha 83.25
_cell_angle_beta 83.25
_cell_angle_gamma 83.25
_symmetry_space_group_name_H-M 'P 1'
_symmetry_Int_Tables_number 1
loop_
_symmetry_equiv_pos_as_xyz
'x,y,z'
loop_
_atom_site_label
_atom_site_type_symbol
_atom_site_fract_x
_atom_site_fract_y
_atom_site_fract_z
Be1 Be 0.1106 0.1106 0.1106
Be2 Be 0.3459 0.8371 0.3459
Be3 Be 0.6973 0.3026 0.0000
Be4 Be 0.0000 0.6973 0.3026
Be5 Be 0.4901 0.0042 0.0042
Be6 Be 0.6485 0.1673 0.6485
Be7 Be 0.0000 0.3026 0.6973
Be8 Be 0.6973 0.0000 0.3026
Be9 Be 0.0042 0.4901 0.0042
Be10 Be 0.3026 0.6973 0.0000
Be11 Be 0.3459 0.3459 0.8371
Be12 Be 0.8371 0.3459 0.3459
Be13 Be 0.3026 0.0000 0.6973
Be14 Be 0.1673 0.6485 0.6485
Be15 Be 0.0042 0.0042 0.4901
Be16 Be 0.6485 0.6485 0.1673
Ta1 Ta 0.3431 0.3431 0.3431
Ta2 Ta 0.6524 0.6524 0.6524
Al1 Al 0.9023 0.9023 0.9023
# * ΔE_f: -15 kJ/mol of atoms
# * volume: 175.5 Å³ per cell
# * total moment: 0.00 μB per cell
# * space group: No. 160

Record 6
# Ta4Be2Al, relaxed, DFT PBE-GGA
data_Ta4Be2Al
_chemical_formula_sum 'Ta4 Be2 Al1'
_cell_length_a 4.7095
_cell_length_b 4.7095
_cell_length_c 6.5711
_cell_angle_alpha 69.00
_cell_angle_beta 69.00
_cell_angle_gamma 90.00
_symmetry_space_group_name_H-M 'P 1'
_symmetry_Int_Tables_number 1
loop_
_symmetry_equiv_pos_as_xyz
'x,y,z'
loop_
_atom_site_label
_atom_site_type_symbol
_atom_site_fract_x
_atom_site_fract_y
_atom_site_fract_z
Al1 Al 0.0000 0.0000 0.0000
Ta1 Ta 0.7805 0.7805 0.4391
Ta2 Ta 0.5000 0.0000 0.0000
Ta3 Ta 0.2195 0.2195 0.5609
Ta4 Ta 0.0000 0.5000 0.0000
Be1 Be 0.4183 0.4183 0.1634
Be2 Be 0.5817 0.5817 0.8366
# * ΔE_f: 118 kJ/mol of atoms
# * volume: 125.6 Å³ per cell
# * total moment: 0.00 μB per cell
# * space group: No. 139

Record 7
# TaBe4Al, relaxed, DFT PBE-GGA
data_TaBe4Al
_chemical_formula_sum 'Ta1 Be4 Al1'
_cell_length_a 4.5217
_cell_length_b 4.5217
_cell_length_c 4.5217
_cell_angle_alpha 60.00
_cell_angle_beta 60.00
_cell_angle_gamma 60.00
_symmetry_space_group_name_H-M 'P 1'
_symmetry_Int_Tables_number 1
loop_
_symmetry_equiv_pos_as_xyz
'x,y,z'
loop_
_atom_site_label
_atom_site_type_symbol
_atom_site_fract_x
_atom_site_fract_y
_atom_site_fract_z
Be1 Be 0.3784 0.3784 0.8648
Be2 Be 0.3784 0.8648 0.3784
Be3 Be 0.3784 0.3784 0.3784
Be4 Be 0.8648 0.3784 0.3784
Ta1 Ta 0.7500 0.7500 0.7500
Al1 Al 0.0000 0.0000 0.0000
# * ΔE_f: 2 kJ/mol of atoms
# * volume: 65.4 Å³ per cell
# * total moment: 0.00 μB per cell
# * space group: No. 216

Record 8
# TaBeAl2, relaxed, DFT PBE-GGA
data_TaBeAl2
_chemical_formula_sum 'Ta2 Be2 Al4'
_cell_length_a 6.9107
_cell_length_b 6.9107
_cell_length_c 5.5028
_cell_angle_alpha 51.10
_cell_angle_beta 51.10
_cell_angle_gamma 90.00
_symmetry_space_group_name_H-M 'P 1'
_symmetry_Int_Tables_number 1
loop_
_symmetry_equiv_pos_as_xyz
'x,y,z'
loop_
_atom_site_label
_atom_site_type_symbol
_atom_site_fract_x
_atom_site_fract_y
_atom_site_fract_z
Al1 Al 0.3750 0.4314 0.7500
Al2 Al 0.1814 0.6250 0.2500
Al3 Al 0.8750 0.8186 0.7500
Al4 Al 0.5686 0.1250 0.2500
Ta1 Ta 0.0000 0.0000 0.0000
Ta2 Ta 0.7500 0.2500 0.5000
Be1 Be 0.2500 0.7500 0.5000
Be2 Be 0.5000 0.5000 0.0000
# * ΔE_f: 22 kJ/mol of atoms
# * volume: 120.8 Å³ per cell
# * total moment: 0.00 μB per cell
# * space group: No. 122

Record 9
# TaBeAl2, relaxed, DFT PBE-GGA
data_TaBeAl2
_chemical_formula_sum 'Ta1 Be1 Al2'
_cell_length_a 2.7712
_cell_length_b 2.7713
_cell_length_c 7.8321
_cell_angle_alpha 90.00
_cell_angle_beta 90.00
_cell_angle_gamma 90.03
_symmetry_space_group_name_H-M 'P 1'
_symmetry_Int_Tables_number 1
loop_
_symmetry_equiv_pos_as_xyz
'x,y,z'
loop_
_atom_site_label
_atom_site_type_symbol
_atom_site_fract_x
_atom_site_fract_y
_atom_site_fract_z
Al1 Al 0.0000 0.0000 0.9939
Al2 Al 0.5000 0.5000 0.2850
Ta1 Ta 0.5000 0.5000 0.7255
Be1 Be 0.0000 0.0000 0.4956
# * ΔE_f: 6 kJ/mol of atoms
# * volume: 60.1 Å³ per cell
# * total moment: 0.00 μB per cell
# * space group: No. 99

Record 10
# TaBeAl3, relaxed, DFT PBE-GGA
data_TaBeAl3
_chemical_formula_sum 'Ta1 Be1 Al3'
_cell_length_a 4.2961
_cell_length_b 4.2961
_cell_length_c 4.2961
_cell_angle_alpha 90.00
_cell_angle_beta 90.00
_cell_angle_gamma 90.00
_symmetry_space_group_name_H-M 'P 1'
_symmetry_Int_Tables_number 1
loop_
_symmetry_equiv_pos_as_xyz
'x,y,z'
loop_
_atom_site_label
_atom_site_type_symbol
_atom_site_fract_x
_atom_site_fract_y
_atom_site_fract_z
Al1 Al 0.0000 0.5000 0.0000
Al2 Al 0.5000 0.0000 0.0000
Al3 Al 0.0000 0.0000 0.5000
Be1 Be 0.0000 0.0000 0.0000
Ta1 Ta 0.5000 0.5000 0.5000
# * ΔE_f: 64 kJ/mol of atoms
# * polymorph energy (0 for the lowest one): 0 meV/atom
# * volume: 79.3 Å³ per cell
# * total moment: 0.00 μB per cell
# * space group: No. 221

Record 11
# TaBeAl2, relaxed, DFT PBE-GGA
data_TaBeAl2
_chemical_formula_sum 'Ta1 Be1 Al2'
_cell_length_a 5.0250
_cell_length_b 5.0250
_cell_length_c 5.0250
_cell_angle_alpha 137.12
_cell_angle_beta 136.95
_cell_angle_gamma 62.39
_symmetry_space_group_name_H-M 'P 1'
_symmetry_Int_Tables_number 1
loop_
_symmetry_equiv_pos_as_xyz
'x,y,z'
loop_
_atom_site_label
_atom_site_type_symbol
_atom_site_fract_x
_atom_site_fract_y
_atom_site_fract_z
Al1 Al 0.9996 0.9996 0.0000
Al2 Al 0.5004 0.5004 0.0000
Be1 Be 0.7500 0.2500 0.5000
Ta1 Ta 0.2500 0.7500 0.5000
# * ΔE_f: -16 kJ/mol of atoms
# * volume: 58.2 Å³ per cell
# * total moment: 0.00 μB per cell
# * space group: No. 71

Record 12
# Ta3BeAl, relaxed, DFT PBE-GGA
data_Ta3BeAl
_chemical_formula_sum 'Ta3 Be1 Al1'
_cell_length_a 4.4025
_cell_length_b 4.4025
_cell_length_c 4.4025
_cell_angle_alpha 90.00
_cell_angle_beta 90.00
_cell_angle_gamma 90.00
_symmetry_space_group_name_H-M 'P 1'
_symmetry_Int_Tables_number 1
loop_
_symmetry_equiv_pos_as_xyz
'x,y,z'
loop_
_atom_site_label
_atom_site_type_symbol
_atom_site_fract_x
_atom_site_fract_y
_atom_site_fract_z
Al1 Al 0.5000 0.5000 0.5000
Ta1 Ta 0.0000 0.0000 0.5000
Ta2 Ta 0.5000 0.0000 0.0000
Ta3 Ta 0.0000 0.5000 0.0000
Be1 Be 0.0000 0.0000 0.0000
# * ΔE_f: 38 kJ/mol of atoms
# * polymorph energy (0 for the lowest one): 0 meV/atom
# * volume: 85.3 Å³ per cell
# * total moment: 0.00 μB per cell
# * space group: No. 221